Here is a geometry-optimized Tb2PdPt structure from OQMD. Energies are from PBE-GGA.

abc: 5.6168 4.5337 7.5165
angles: 90.00 109.58 90.00
Closest atoms and distances in Å follow each position.
Sites, in units of the cell vectors:
Tb 0.2217 0.2500 0.4338  4 Pt 2.92-3.04, 3 Pd 3.00-3.05
Tb 0.2282 0.2500 0.9284  4 Pd 2.90-3.02, 3 Pt 2.98-3.02
Tb 0.7718 0.7500 0.0716  4 Pd 2.90-3.02, 3 Pt 2.98-3.02
Tb 0.7783 0.7500 0.5662  4 Pt 2.92-3.04, 3 Pd 3.00-3.05
Pd 0.3206 0.7500 0.2055  7 Tb 2.90-3.05, 2 Pt 2.93
Pd 0.6794 0.2500 0.7945  7 Tb 2.90-3.05, 2 Pt 2.93
Pt 0.3295 0.7500 0.7069  7 Tb 2.92-3.04, 2 Pd 2.93
Pt 0.6705 0.2500 0.2931  7 Tb 2.92-3.04, 2 Pd 2.93

Calculated values
Crystal system   monoclinic
Space-group type   P2_1/m (11)
Energy of formation from the pure elements   -1103 meV/atom
Size of the total moment   0.0 μB per formula unit

***

Here is a geometry-optimized Pr2Sc2CCl5 structure from OQMD. Energies are from PBE-GGA.

abc: 8.6557 8.6557 8.3446
angles: 102.84 102.84 24.78
Closest atoms and distances in Å follow each position.
Sites, in units of the cell vectors:
Pr 0.9998 0.9998 0.2150  2 C 2.58, 2 Cl 2.84-2.87
Pr 0.0002 0.0002 0.7850  2 C 2.58, 2 Cl 2.84-2.87
Sc 0.3627 0.3627 0.9337  1 C 2.26
Sc 0.6373 0.6373 0.0663  1 C 2.26
C 0.5000 0.5000 0.0000  2 Sc 2.26
Cl 0.1723 0.1723 0.2891  2 Sc 2.60, 1 Pr 2.84
Cl 0.1746 0.1746 0.8715  2 Sc 2.64, 1 Pr 2.87
Cl 0.5000 0.5000 0.5000  4 Pr 3.02
Cl 0.8254 0.8254 0.1285  2 Sc 2.64, 1 Pr 2.87
Cl 0.8277 0.8277 0.7109  2 Sc 2.60, 1 Pr 2.84

Calculated values
Crystal system   monoclinic
Energy above the lowest structure with this stoichiometry   0 meV/atom
Space-group type   C2/m (12)
Size of the total moment   0.0 μB per formula unit

***

Here is a geometry-optimized NdCdRe structure from OQMD. Energies are from PBE-GGA.

abc: 6.7142 6.7142 6.7142
angles: 90.00 90.00 90.00
Closest atoms and distances in Å follow each position.
Sites, in units of the cell vectors:
Nd 0.0000 0.0000 0.0000  4 Cd 2.91
Nd 0.0000 0.5000 0.5000  4 Cd 2.91
Nd 0.5000 0.0000 0.5000  4 Cd 2.91
Nd 0.5000 0.5000 0.0000  4 Cd 2.91
Cd 0.2500 0.2500 0.2500  4 Re 2.91, 4 Nd 2.91
Cd 0.2500 0.7500 0.7500  4 Re 2.91, 4 Nd 2.91
Cd 0.7500 0.2500 0.7500  4 Re 2.91, 4 Nd 2.91
Cd 0.7500 0.7500 0.2500  4 Re 2.91, 4 Nd 2.91
Re 0.0000 0.0000 0.5000  4 Cd 2.91
Re 0.0000 0.5000 0.0000  4 Cd 2.91
Re 0.5000 0.0000 0.0000  4 Cd 2.91
Re 0.5000 0.5000 0.5000  4 Cd 2.91

Calculated values
Crystal system   cubic
Space-group type   F-43m (216)
Energy of formation from the pure elements   1030 meV/atom
Size of the total moment   1.1 μB per formula unit